Record 1
{
  "formula": "BaLi2ZnGe",
  "functional": "GGA-PBE",
  "state": "optimized geometry",
  "cell": [[4.951, 0.000, 0.000], [0.000, 4.951, 0.000], [0.000, 0.000, 5.332]],
  "species": ["Li", "Li", "Ge", "Ba", "Zn"],
  "frac_coords": [[0.000, 0.500, 0.000], [0.500, 0.000, 0.000], [0.000, 0.000, 0.000], [0.500, 0.500, 0.500], [0.000, 0.000, 0.500]],
  "spacegroup": "No. 123",
  "energy_ev_per_atom": -2.489,
  "magnetic_moment_mub_per_fu": 0.00,
  "delta_e_f_ev_per_atom": -0.161,
  "density_g_cm3": 3.68,
  "volume_a3_per_cell": 130.68,
  "e_above_lowest_polymorph_ev_per_atom": 0.0000
}

***

Record 2
{
  "formula": "PrMgCuGe",
  "functional": "GGA-PBE",
  "state": "optimized geometry",
  "cell": [[4.924, 0.000, 0.000], [2.462, 4.264, 0.000], [2.462, 1.421, 4.021]],
  "species": ["Mg", "Cu", "Ge", "Pr"],
  "frac_coords": [[0.500, 0.500, 0.500], [0.750, 0.750, 0.750], [0.250, 0.250, 0.250], [0.000, 0.000, 0.000]],
  "spacegroup": "No. 216",
  "energy_ev_per_atom": -4.114,
  "magnetic_moment_mub_per_fu": 0.00,
  "delta_e_f_ev_per_atom": -0.342,
  "density_g_cm3": 5.93,
  "volume_a3_per_cell": 84.43
}

***

Record 3
{
  "formula": "Tc2TeRhW",
  "functional": "GGA-PBE",
  "state": "optimized geometry",
  "cell": [[4.747, 0.000, 0.000], [0.000, 4.644, 0.000], [0.000, 0.000, 4.747]],
  "species": ["Rh", "W", "Te", "Tc", "Tc"],
  "frac_coords": [[0.000, 0.500, 0.000], [0.500, 0.500, 0.500], [0.000, 0.000, 0.000], [0.500, 0.000, 0.000], [0.000, 0.000, 0.500]],
  "spacegroup": "No. 123",
  "energy_ev_per_atom": -6.758,
  "magnetic_moment_mub_per_fu": 0.76,
  "density_g_cm3": 9.68,
  "formation_energy_uncorrected_ev_per_atom": 2.078,
  "volume_a3_per_cell": 104.66
}

***

Record 4
{
  "formula": "TiCu23Pd6",
  "functional": "GGA-PBE",
  "state": "optimized geometry",
  "cell": [[7.107, 0.000, 4.103], [2.369, 6.700, 4.103], [0.000, 0.000, 8.206]],
  "species": ["Pd", "Pd", "Pd", "Pd", "Pd", "Pd", "Cu", "Cu", "Cu", "Cu", "Cu", "Cu", "Cu", "Cu", "Cu", "Cu", "Cu", "Cu", "Cu", "Cu", "Cu", "Cu", "Cu", "Cu", "Cu", "Cu", "Cu", "Cu", "Cu", "Ti"],
  "frac_coords": [[0.724, 0.276, 0.276], [0.276, 0.724, 0.276], [0.276, 0.276, 0.724], [0.724, 0.276, 0.724], [0.724, 0.724, 0.276], [0.276, 0.724, 0.724], [0.632, 0.123, 0.123], [0.123, 0.632, 0.123], [0.339, 0.982, 0.339], [0.877, 0.368, 0.877], [0.123, 0.123, 0.632], [0.339, 0.339, 0.982], [0.339, 0.339, 0.339], [0.368, 0.877, 0.877], [0.000, 0.500, 0.500], [0.500, 0.000, 0.500], [0.661, 0.661, 0.661], [0.661, 0.018, 0.661], [0.877, 0.877, 0.368], [0.661, 0.661, 0.018], [0.877, 0.877, 0.877], [0.000, 0.000, 0.500], [0.982, 0.339, 0.339], [0.000, 0.500, 0.000], [0.123, 0.123, 0.123], [0.500, 0.500, 0.000], [0.000, 0.000, 0.000], [0.500, 0.000, 0.000], [0.018, 0.661, 0.661], [0.500, 0.500, 0.500]],
  "spacegroup": "No. 225",
  "energy_ev_per_atom": -4.474,
  "magnetic_moment_mub_per_fu": 0.00,
  "delta_e_f_ev_per_atom": -0.032,
  "density_g_cm3": 9.13,
  "volume_a3_per_cell": 390.76
}

***

Record 5
{
  "formula": "MgNi4As",
  "functional": "GGA-PBE",
  "state": "optimized geometry",
  "cell": [[4.278, 0.000, 0.000], [0.000, 6.158, 0.000], [-2.139, 0.000, 6.268]],
  "species": ["Ni", "Ni", "Ni", "Ni", "Ni", "Ni", "Ni", "Ni", "As", "As", "Mg", "Mg"],
  "frac_coords": [[0.000, 0.500, 0.000], [0.232, 0.435, 0.465], [0.000, 0.000, 0.000], [0.585, 0.750, 0.169], [0.768, 0.565, 0.535], [0.768, 0.935, 0.535], [0.415, 0.250, 0.831], [0.232, 0.065, 0.465], [0.857, 0.250, 0.715], [0.143, 0.750, 0.285], [0.613, 0.250, 0.225], [0.387, 0.750, 0.775]],
  "spacegroup": "No. 63",
  "energy_ev_per_atom": -4.917,
  "magnetic_moment_mub_per_fu": 0.00,
  "delta_e_f_ev_per_atom": -0.022,
  "density_g_cm3": 6.72,
  "volume_a3_per_cell": 165.10,
  "e_above_lowest_polymorph_ev_per_atom": 0.0366
}

***

Record 6
{
  "formula": "YCu7Ni5",
  "functional": "GGA-PBE",
  "state": "optimized geometry",
  "cell": [[4.442, 0.000, 1.824], [2.224, 5.888, 0.904], [-0.016, 0.010, 6.358]],
  "species": ["Cu", "Cu", "Cu", "Cu", "Cu", "Cu", "Cu", "Y", "Ni", "Ni", "Ni", "Ni", "Ni"],
  "frac_coords": [[0.500, 0.779, 0.222], [0.352, 0.648, 0.648], [0.999, 0.649, 0.354], [0.277, 0.223, 0.223], [0.999, 0.354, 0.649], [0.650, 0.350, 0.350], [0.500, 0.222, 0.779], [0.004, 0.996, 0.996], [0.000, 0.502, 0.999], [0.722, 0.778, 0.778], [0.499, 0.999, 0.502], [0.000, 0.999, 0.502], [0.499, 0.502, 0.999]],
  "spacegroup": "No. 44",
  "energy_ev_per_atom": -5.045,
  "magnetic_moment_mub_per_fu": 0.00,
  "delta_e_f_ev_per_atom": -0.119,
  "density_g_cm3": 8.25,
  "volume_a3_per_cell": 166.45
}

***

Record 7
{
  "formula": "Y5In2Se2",
  "functional": "GGA-PBE",
  "state": "optimized geometry",
  "cell": [[7.984, 0.000, 0.000], [0.000, 7.099, -3.650], [0.000, -0.115, 8.506]],
  "species": ["Y", "Y", "Y", "Y", "Y", "Y", "Y", "Y", "Y", "Y", "In", "In", "In", "In", "Se", "Se", "Se", "Se"],
  "frac_coords": [[0.000, 0.000, 0.000], [0.500, 0.500, 0.000], [0.335, 0.703, 0.741], [0.335, 0.962, 0.259], [0.165, 0.462, 0.259], [0.165, 0.203, 0.741], [0.835, 0.797, 0.259], [0.835, 0.538, 0.741], [0.665, 0.297, 0.259], [0.665, 0.038, 0.741], [0.500, 0.292, 0.584], [0.000, 0.208, 0.416], [0.500, 0.708, 0.416], [0.000, 0.792, 0.584], [0.355, 0.141, 0.000], [0.855, 0.359, 0.000], [0.145, 0.641, 0.000], [0.645, 0.859, 0.000]],
  "spacegroup": "No. 64",
  "energy_ev_per_atom": -5.850,
  "magnetic_moment_mub_per_fu": 0.00,
  "density_g_cm3": 5.77,
  "formation_energy_uncorrected_ev_per_atom": -0.876,
  "volume_a3_per_cell": 478.73
}

***

Record 8
{
  "formula": "ZnIn2Ag",
  "functional": "GGA-PBE",
  "state": "optimized geometry",
  "cell": [[6.135, -0.151, -0.007], [3.289, 5.182, 0.007], [-4.051, -3.755, 2.676]],
  "species": ["In", "In", "Zn", "Ag"],
  "frac_coords": [[0.016, 0.016, 0.000], [0.729, 0.229, 0.500], [0.483, 0.483, 0.000], [0.272, 0.772, 0.500]],
  "spacegroup": "No. 44",
  "energy_ev_per_atom": -2.323,
  "magnetic_moment_mub_per_fu": 0.00,
  "delta_e_f_ev_per_atom": 0.078,
  "density_g_cm3": 7.73,
  "volume_a3_per_cell": 86.51
}

***

Record 9
{
  "formula": "Ba5SrAc",
  "functional": "GGA-PBE",
  "state": "optimized geometry",
  "cell": [[-5.421, 2.169, 6.143], [-0.757, -6.951, -4.873], [4.924, -6.298, 12.416]],
  "species": ["Ac", "Ac", "Ba", "Ba", "Ba", "Ba", "Ba", "Ba", "Ba", "Ba", "Ba", "Ba", "Sr", "Sr"],
  "frac_coords": [[0.903, 0.750, 0.193], [0.097, 0.250, 0.807], [0.377, 0.750, 0.247], [0.782, 0.740, 0.941], [0.197, 0.492, 0.565], [0.723, 0.240, 0.059], [0.237, 0.008, 0.565], [0.763, 0.992, 0.435], [0.623, 0.250, 0.753], [0.218, 0.260, 0.059], [0.803, 0.508, 0.435], [0.277, 0.760, 0.941], [0.349, 0.250, 0.303], [0.651, 0.750, 0.697]],
  "spacegroup": "No. 15",
  "energy_ev_per_atom": -2.040,
  "magnetic_moment_mub_per_fu": 0.00,
  "delta_e_f_ev_per_atom": 0.161,
  "density_g_cm3": 3.95,
  "volume_a3_per_cell": 842.12
}

***

Record 10
{
  "formula": "V2GaAg",
  "functional": "GGA-PBE",
  "state": "optimized geometry",
  "cell": [[7.118, 0.000, 0.000], [0.000, 7.118, 0.000], [3.559, 3.559, 2.542]],
  "species": ["V", "V", "V", "V", "Ga", "Ga", "Ag", "Ag"],
  "frac_coords": [[0.135, 0.625, 0.250], [0.875, 0.865, 0.750], [0.375, 0.385, 0.750], [0.615, 0.125, 0.250], [0.500, 0.500, 0.000], [0.250, 0.750, 0.500], [0.750, 0.250, 0.500], [0.000, 0.000, 0.000]],
  "spacegroup": "No. 122",
  "energy_ev_per_atom": -5.482,
  "magnetic_moment_mub_per_fu": 0.00,
  "delta_e_f_ev_per_atom": 0.547,
  "density_g_cm3": 7.21,
  "volume_a3_per_cell": 128.78
}

***

Record 11
{
  "formula": "PrEuBi2",
  "functional": "GGA-PBE",
  "state": "optimized geometry",
  "cell": [[5.704, 0.000, 0.000], [2.852, 4.940, 0.000], [2.852, 1.647, 4.657]],
  "species": ["Bi", "Bi", "Pr", "Eu"],
  "frac_coords": [[0.250, 0.250, 0.250], [0.750, 0.750, 0.750], [0.500, 0.500, 0.500], [0.000, 0.000, 0.000]],
  "spacegroup": "No. 225",
  "energy_ev_per_atom": -6.427,
  "magnetic_moment_mub_per_fu": 6.94,
  "delta_e_f_ev_per_atom": -0.723,
  "density_g_cm3": 8.99,
  "volume_a3_per_cell": 131.24,
  "e_above_lowest_polymorph_ev_per_atom": 0.1121
}

***

Record 12
{
  "formula": "AgGeAu2",
  "functional": "GGA-PBE",
  "state": "optimized geometry",
  "cell": [[-4.784, 3.237, -4.883], [-5.525, -4.588, 2.373], [-5.860, 1.160, 0.652]],
  "species": ["Au", "Au", "Au", "Au", "Ge", "Ge", "Ag", "Ag"],
  "frac_coords": [[0.152, 0.625, 0.250], [0.875, 0.848, 0.750], [0.598, 0.125, 0.250], [0.375, 0.402, 0.750], [0.250, 0.750, 0.500], [0.500, 0.500, 0.000], [0.000, 0.000, 0.000], [0.750, 0.250, 0.500]],
  "spacegroup": "No. 122",
  "energy_ev_per_atom": -3.401,
  "magnetic_moment_mub_per_fu": 0.00,
  "delta_e_f_ev_per_atom": 0.105,
  "density_g_cm3": 12.18,
  "volume_a3_per_cell": 156.67
}

***

Repeat the sixth record exactly.
{
  "formula": "YCu7Ni5",
  "functional": "GGA-PBE",
  "state": "optimized geometry",
  "cell": [[4.442, 0.000, 1.824], [2.224, 5.888, 0.904], [-0.016, 0.010, 6.358]],
  "species": ["Cu", "Cu", "Cu", "Cu", "Cu", "Cu", "Cu", "Y", "Ni", "Ni", "Ni", "Ni", "Ni"],
  "frac_coords": [[0.500, 0.779, 0.222], [0.352, 0.648, 0.648], [0.999, 0.649, 0.354], [0.277, 0.223, 0.223], [0.999, 0.354, 0.649], [0.650, 0.350, 0.350], [0.500, 0.222, 0.779], [0.004, 0.996, 0.996], [0.000, 0.502, 0.999], [0.722, 0.778, 0.778], [0.499, 0.999, 0.502], [0.000, 0.999, 0.502], [0.499, 0.502, 0.999]],
  "spacegroup": "No. 44",
  "energy_ev_per_atom": -5.045,
  "magnetic_moment_mub_per_fu": 0.00,
  "delta_e_f_ev_per_atom": -0.119,
  "density_g_cm3": 8.25,
  "volume_a3_per_cell": 166.45
}